1.
First-principles (meta-GGA SCAN) data for a crystal of CrOs3 relaxed with PBEsol, as listed in the Alexandria database.

extended XYZ file:
```
4
Lattice="2.7077 0.0000 0.0000 0.0000 4.2540 0.0000 0.0000 0.0000 4.6510" Properties=species:S:1:pos:R:3 pbc="T T T"
Cr 0.0000 0.0000 0.0000
Os 0.0000 2.1270 1.5300
Os 1.3539 0.0000 2.3330
Os 1.3539 2.1270 3.9195
```

Properties
The energy of formation is -9 meV per atom. Its density of states at the Fermi level is 2.97 states/eV/f.u. As for the space group: No. 25. The calculation puts the final energy at -234.1 eV/cell.

***

2.
First-principles (meta-GGA SCAN) data for a crystal of CaY3Sn relaxed with PBEsol, as listed in the Alexandria database.

extended XYZ file:
```
5
Lattice="5.3554 0.0000 0.0000 0.0000 5.3554 0.0000 0.0000 0.0000 5.3554" Properties=species:S:1:pos:R:3 pbc="T T T"
Ca 0.0000 0.0000 0.0000
Y 0.0000 0.0000 2.6777
Y 0.0000 2.6777 0.0000
Y 2.6777 0.0000 0.0000
Sn 2.6777 2.6777 2.6777
```

Properties
The energy of formation is 848 meV per atom. Its density of states at the Fermi level is 3.95 states/eV/f.u. As for the space group: No. 221. The calculation puts the final energy at -124.9 eV/cell.

***

3.
First-principles (meta-GGA SCAN) data for a crystal of BaAgAs2Br relaxed with PBEsol, as listed in the Alexandria database.

extended XYZ file:
```
5
Lattice="4.8969 0.0000 0.0000 0.0000 4.8969 0.0000 0.0000 0.0000 5.8478" Properties=species:S:1:pos:R:3 pbc="T T T"
Ba 0.0000 0.0000 0.0000
Ag 2.4484 2.4484 2.9239
As 0.0000 2.4484 2.9239
As 2.4484 0.0000 2.9239
Br 2.4484 2.4484 0.0000
```

Properties
Its density of states at the Fermi level is 4.63 states/eV/f.u. As for the space group: No. 123. The calculation puts the final energy at -132.9 eV/cell. For the energy relative to the elements, uncorrected, the calculation gives -0.43 eV/atom.